(1)
! Lu2InO4, optimized geometry, DFT PBE; values from VASP
! - calculated total energy (eV/atom) = -7.3456
! - V (A^3/atom) = 14.8
&SYSTEM
  ibrav = 0, nat = 14, ntyp = 3
/
ATOMIC_SPECIES
Lu 174.97 Lu.upf
O 16.00 O.upf
In 114.82 In.upf
CELL_PARAMETERS angstrom
4.7005 -4.7018 0.0000
-4.7005 0.0000 -4.7018
4.7005 4.7018 0.0000
ATOMIC_POSITIONS angstrom
Lu 3.5254 1.1754 -1.1754
Lu 5.8757 -1.1754 -1.1754
Lu 1.1751 1.1754 -3.5263
Lu -1.1751 -1.1754 -3.5263
O 1.3154 3.3855 -3.3855
O 3.3852 3.3855 -1.3162
O -1.0349 1.0347 -3.6671
O 1.0349 -1.0347 -3.6671
O 3.3852 1.3162 -3.3855
O 1.3154 1.3162 -1.3162
O 5.7354 1.0347 -1.0347
O 3.6656 -1.0347 -1.0347
In 2.3503 -2.3509 -2.3509
In 0.0000 0.0000 0.0000


(2)
! SnPtSO, optimized geometry, DFT PBE; values from VASP
! - calculated total energy (eV/atom) = -5.1130
! - V (A^3/atom) = 19.3
&SYSTEM
  ibrav = 0, nat = 8, ntyp = 4
/
ATOMIC_SPECIES
Sn 118.71 Sn.upf
S 32.06 S.upf
Pt 195.08 Pt.upf
O 16.00 O.upf
CELL_PARAMETERS angstrom
-3.4341 0.4548 1.3771
0.8791 -2.1626 2.9064
3.4383 8.9491 5.6187
ATOMIC_POSITIONS angstrom
Sn 1.4768 5.0794 4.5281
Sn -0.5935 2.1619 5.3742
S -0.1418 0.8665 1.8830
S 1.0251 6.3748 8.0193
Pt -0.1992 -1.5082 2.5241
Pt -2.3558 -0.1996 1.7595
O 0.0494 3.8352 6.4248
O 0.8339 3.4061 3.4775


(3)
! MgCdSO, optimized geometry, DFT PBE; values from VASP
! - calculated total energy (eV/atom) = -4.2797
! - V (A^3/atom) = 17.3
&SYSTEM
  ibrav = 0, nat = 8, ntyp = 4
/
ATOMIC_SPECIES
Cd 112.41 Cd.upf
O 16.00 O.upf
Mg 24.30 Mg.upf
S 32.06 S.upf
CELL_PARAMETERS angstrom
6.5114 -1.8372 0.0000
6.5114 1.8372 0.0000
0.0000 0.0000 5.7893
ATOMIC_POSITIONS angstrom
Cd 4.3428 0.0000 5.5449
Cd 8.6799 0.0000 2.6503
O 12.1499 0.0000 0.2627
O 0.8728 0.0000 3.1574
Mg 0.8014 0.0000 5.0941
Mg 12.2213 0.0000 2.1995
S 8.7768 0.0000 0.0550
S 4.2459 0.0000 2.9496